No. 1
A plane-wave DFT calculation with PBE-GGA was carried out for Ce8POs3Cl4 after structural relaxation.

a = 8.141 Å, b = 8.572 Å, c = 8.141 Å
α = 118.35°, β = 120.00°, γ = 90.00°
Sites, in units of the cell vectors:
1 Ce 0.240 0.711 0.971
2 Ce 0.240 0.711 0.481
3 Ce 0.263 0.288 0.526
4 Ce 0.731 0.711 0.971
5 Ce 0.269 0.289 0.029
6 Ce 0.737 0.712 0.474
7 Ce 0.760 0.289 0.519
8 Ce 0.760 0.289 0.029
9 P 0.000 0.500 0.000
10 Os 0.500 0.500 0.000
11 Os 0.500 0.500 0.500
12 Os 0.000 0.500 0.500
13 Cl 0.500 0.000 0.000
14 Cl 0.500 0.000 0.500
15 Cl 0.000 0.000 0.000
16 Cl 0.000 0.000 0.500

Its space group is No. 166. As for the total energy: -0.5048 Ry/atom. For the formation energy from raw total energies, the calculation gives -996 meV per atom. As for the crystal system: trigonal. Its density of states at the Fermi level is 40.998 states/eV/cell.

=====

No. 2
A plane-wave DFT calculation with PBE-GGA was carried out for V2SbSe2 after structural relaxation.

a = 4.525 Å, b = 4.525 Å, c = 5.818 Å
α = 67.12°, β = 67.12°, γ = 90.00°
Sites, in units of the cell vectors:
1 Sb 0.000 0.000 0.000
2 Se 0.352 0.352 0.296
3 Se 0.648 0.648 0.704
4 V 0.750 0.250 0.500
5 V 0.250 0.750 0.500

Its space group is No. 139. As for the total energy: -0.4441 Ry/atom. For the formation energy from raw total energies, the calculation gives -176 meV per atom. As for the crystal system: tetragonal. Its density of states at the Fermi level is 3.762 states/eV/cell.

=====

No. 3
A plane-wave DFT calculation with PBE-GGA was carried out for Ca2TlFe after structural relaxation.

a = 10.130 Å, b = 10.130 Å, c = 7.609 Å
α = 48.27°, β = 48.27°, γ = 90.00°
Sites, in units of the cell vectors:
1 Tl 0.000 0.000 0.000
2 Tl 0.750 0.250 0.500
3 Ca 0.469 0.125 0.250
4 Ca 0.281 0.625 0.250
5 Ca 0.375 0.531 0.750
6 Ca 0.875 0.719 0.750
7 Fe 0.500 0.500 0.000
8 Fe 0.250 0.750 0.500

Its space group is No. 122. As for the total energy: -0.2447 Ry/atom. As for the crystal system: tetragonal. Its density of states at the Fermi level is 8.659 states/eV/cell. The calculation puts the formation energy at 0.378 eV per atom.

=====

No. 4
A plane-wave DFT calculation with PBE-GGA was carried out for BeTe2P after structural relaxation.

a = 6.178 Å, b = 6.178 Å, c = 3.561 Å
α = 58.07°, β = 58.07°, γ = 73.89°
Sites, in units of the cell vectors:
1 P 0.000 0.500 0.500
2 Te 0.000 0.000 0.000
3 Te 0.500 0.500 0.000
4 Be 0.500 0.000 0.500

Its space group is No. 12. As for the total energy: -0.2489 Ry/atom. For the formation energy from raw total energies, the calculation gives 469 meV per atom. As for the crystal system: monoclinic. Its density of states at the Fermi level is 2.700 states/eV/cell.

=====

No. 5
A plane-wave DFT calculation with PBE-GGA was carried out for Ce2ZnGe after structural relaxation.

a = 3.059 Å, b = 3.059 Å, c = 11.603 Å
α = 82.42°, β = 82.42°, γ = 60.00°
Sites, in units of the cell vectors:
1 Ge 0.500 0.500 0.500
2 Zn 0.000 0.000 0.000
3 Ce 0.091 0.091 0.726
4 Ce 0.909 0.909 0.274

Its space group is No. 166. As for the total energy: -0.3222 Ry/atom. As for the crystal system: trigonal. Its density of states at the Fermi level is 8.234 states/eV/cell. The calculation puts the formation energy at 0.056 eV per atom.

=====

No. 6
A plane-wave DFT calculation with PBE-GGA was carried out for KNiCl after structural relaxation.

a = 5.223 Å, b = 5.223 Å, c = 5.223 Å
α = 60.00°, β = 60.00°, γ = 60.00°
Sites, in units of the cell vectors:
1 Ni 0.000 0.000 0.000
2 K 0.750 0.750 0.750
3 Cl 0.500 0.500 0.500

Its space group is No. 216. As for the total energy: -0.1889 Ry/atom. For the formation energy from raw total energies, the calculation gives 338 meV per atom. As for the crystal system: cubic. Its density of states at the Fermi level is 6.642 states/eV/cell.